DFT (PBE-GGA) results for crystalline KBaN at its relaxed geometry.

```
data_KBaN
_cell_length_a 7.163
_cell_length_b 4.142
_cell_length_c 7.890
_cell_angle_alpha 90.00
_cell_angle_beta 107.39
_cell_angle_gamma 90.00
_space_group_name_H-M_alt 'P 1'
_space_group_IT_number 1
_space_group_name_Hall 'P 1'
loop_
_atom_site_label
_atom_site_type_symbol
_atom_site_fract_x
_atom_site_fract_y
_atom_site_fract_z
K1 K 0.000 0.000 0.000
K2 K 0.500 0.500 0.000
Ba1 Ba 0.457 0.000 0.371
Ba2 Ba 0.957 0.500 0.371
N1 N 0.240 0.500 0.222
N2 N 0.740 0.000 0.222
```

Output
Uncorrected energy   -3.7715 eV/atom
Formation energy without anion corrections   0.03 eV per formula unit
Crystal system   monoclinic